1.
Density functional theory data (PBE) for an optimized crystal structure of NdGdCu4.

Calculated values
The formation energy from the elements comes out at -109 meV per atom. Its total moment is 28.50 μB/cell.

CIF file:
```
data_NdGdCu4
_chemical_formula_sum 'Nd4 Gd4 Cu16'
_cell_length_a 7.5387
_cell_length_b 7.5387
_cell_length_c 7.5387
_cell_angle_alpha 90.00
_cell_angle_beta 90.00
_cell_angle_gamma 90.00
_symmetry_space_group_name_H-M 'F -4 3 m'
_symmetry_Int_Tables_number 216
_symmetry_space_group_name_Hall 'F -4 2 3'
loop_
_atom_site_label
_atom_site_fract_x
_atom_site_fract_y
_atom_site_fract_z
Nd1 0.0000 0.0000 0.0000
Gd1 0.2500 0.2500 0.7500
Cu1 0.1244 0.1244 0.3756
```

=====

2.
Density functional theory data (PBE) for an optimized crystal structure of NdGdCu.

Calculated values
The value obtained for the polymorph energy (0 for the lowest one) is 0 meV/atom. The formation energy from the elements comes out at -97 meV per atom. Its total moment is 15.75 μB/cell.

CIF file:
```
data_NdGdCu
_chemical_formula_sum 'Nd2 Gd2 Cu2'
_cell_length_a 3.5850
_cell_length_b 3.5850
_cell_length_c 12.3418
_cell_angle_alpha 90.00
_cell_angle_beta 90.00
_cell_angle_gamma 90.00
_symmetry_space_group_name_H-M 'I 4 m m'
_symmetry_Int_Tables_number 107
_symmetry_space_group_name_Hall 'I 4 -2'
loop_
_atom_site_label
_atom_site_fract_x
_atom_site_fract_y
_atom_site_fract_z
Nd1 0.0000 0.0000 0.0000
Gd1 0.0000 0.0000 0.2809
Cu1 0.0000 0.0000 0.6473
```

=====

3.
Density functional theory data (PBE) for an optimized crystal structure of NdGdCu.

Calculated values
The value obtained for the polymorph energy (0 for the lowest one) is 175 meV/atom. The formation energy from the elements comes out at 79 meV per atom. Its total moment is 32.21 μB/cell.

CIF file:
```
data_NdGdCu
_chemical_formula_sum 'Nd4 Gd4 Cu4'
_cell_length_a 6.9925
_cell_length_b 6.9925
_cell_length_c 6.9925
_cell_angle_alpha 90.00
_cell_angle_beta 90.00
_cell_angle_gamma 90.00
_symmetry_space_group_name_H-M 'F -4 3 m'
_symmetry_Int_Tables_number 216
_symmetry_space_group_name_Hall 'F -4 2 3'
loop_
_atom_site_label
_atom_site_fract_x
_atom_site_fract_y
_atom_site_fract_z
Nd1 0.0000 0.0000 0.0000
Gd1 0.0000 0.0000 0.5000
Cu1 0.2500 0.2500 0.7500
```

=====

4.
Density functional theory data (PBE) for an optimized crystal structure of NdGdCuNi.

Calculated values
The formation energy from the elements comes out at -228 meV per atom. Its total moment is 28.62 μB/cell.

CIF file:
```
data_NdGdCuNi
_chemical_formula_sum 'Nd4 Gd4 Cu4 Ni4'
_cell_length_a 7.0052
_cell_length_b 7.0052
_cell_length_c 7.0052
_cell_angle_alpha 90.00
_cell_angle_beta 90.00
_cell_angle_gamma 90.00
_symmetry_space_group_name_H-M 'F -4 3 m'
_symmetry_Int_Tables_number 216
_symmetry_space_group_name_Hall 'F -4 2 3'
loop_
_atom_site_label
_atom_site_fract_x
_atom_site_fract_y
_atom_site_fract_z
Nd1 0.0000 0.0000 0.0000
Gd1 0.0000 0.0000 0.5000
Cu1 0.2500 0.2500 0.7500
Ni1 0.2500 0.2500 0.2500
```